# 1
Density functional theory data (PBE-GGA) for an optimized crystal structure of SrHfPO2.

abc: 4.1762 4.1762 5.1990
angles: 90.00 90.00 90.00
Closest atoms and distances in Å follow each position.
Sites, in units of the cell vectors:
1 Sr 0.0000 0.0000 0.0000  4 P 2.95
2 Hf 0.5000 0.5000 0.5000  4 O 2.09
3 P 0.5000 0.5000 0.0000  2 Hf 2.60
4 O 0.0000 0.5000 0.5000  2 Hf 2.09
5 O 0.5000 0.0000 0.5000  2 Hf 2.09

Summary:
The calculation puts the volume at 18.13 Å³/atom. The value obtained for the total energy is -37.60 eV/cell.

---

# 2
Density functional theory data (PBE-GGA) for an optimized crystal structure of Ba4Ce3O10.

abc: 16.0163 16.0163 16.0163
angles: 163.92 163.92 22.82
Closest atoms and distances in Å follow each position.
Sites, in units of the cell vectors:
1 Ba 0.0701 0.0701 0.0000  12 O 3.14-3.17
2 Ba 0.2043 0.2043 0.0000  1 O 2.57
3 Ba 0.7957 0.7957 0.0000  1 O 2.57
4 Ba 0.9299 0.9299 0.0000  12 O 3.14-3.17
5 Ce 0.3572 0.3572 0.0000  6 O 2.23-2.25
6 Ce 0.5000 0.5000 0.0000  6 O 2.23-2.24
7 Ce 0.6428 0.6428 0.0000  6 O 2.23-2.25
8 O 0.0000 0.5000 0.5000  2 Ce 2.24
9 O 0.1415 0.6415 0.5000  2 Ce 2.24
10 O 0.2862 0.2862 0.0000  1 Ce 2.23
11 O 0.3585 0.8585 0.5000  2 Ce 2.24
12 O 0.4289 0.4289 0.0000  2 Ce 2.23-2.25
13 O 0.5000 0.0000 0.5000  2 Ce 2.24
14 O 0.5711 0.5711 0.0000  2 Ce 2.23-2.25
15 O 0.6415 0.1415 0.5000  2 Ce 2.24
16 O 0.7138 0.7138 0.0000  1 Ce 2.23
17 O 0.8585 0.3585 0.5000  2 Ce 2.24

Summary:
The calculation puts the volume at 18.54 Å³/atom. The value obtained for the total energy is -127.13 eV/cell.

---

Which value of volume does entry 1 give?
18.13 Å³/atom